Record 1
! TbY2Sn3PdPt2 GGA-PBE relaxed; values from VASP
&SYSTEM
  ibrav = 0, nat = 9, ntyp = 5
/
ATOMIC_SPECIES
Sn 118.71 Sn.upf
Pt 195.08 Pt.upf
Pd 106.42 Pd.upf
Y 88.91 Y.upf
Tb 158.93 Tb.upf
CELL_PARAMETERS angstrom
4.0122 0.0000 0.0000
0.0000 6.5416 3.7779
0.0000 -6.5416 3.7779
ATOMIC_POSITIONS angstrom
Sn 2.0061 4.8539 2.8032
Pt 2.0061 2.1801 3.7783
Pt 2.0061 -2.1801 3.7783
Sn 2.0061 0.0000 1.9494
Pd 0.0000 0.0000 0.0000
Y 0.0000 -2.6653 1.5393
Y 0.0000 2.6653 1.5393
Tb 0.0000 0.0000 4.4761
Sn 2.0061 -4.8539 2.8032
! **V**: 198.31 Å³ per cell
! **Space-group type**: Amm2 (38)
! **E**: -6.257 eV/atom



Record 2
! GaMoPt GGA-PBE relaxed; values from VASP
&SYSTEM
  ibrav = 0, nat = 3, ntyp = 3
/
ATOMIC_SPECIES
Pt 195.08 Pt.upf
Ga 69.72 Ga.upf
Mo 95.94 Mo.upf
CELL_PARAMETERS angstrom
0.0000 3.0181 3.0181
3.0181 0.0000 3.0181
3.0181 3.0181 0.0000
ATOMIC_POSITIONS angstrom
Pt 4.5271 4.5271 4.5271
Ga 1.5090 1.5090 1.5090
Mo 0.0000 0.0000 0.0000
! **V**: 54.98 Å³ per cell
! **Space-group type**: F-43m (216)
! **E**: -6.443 eV/atom



Record 3
! Tb2Tm2O5 GGA-PBE relaxed; values from VASP
&SYSTEM
  ibrav = 0, nat = 9, ntyp = 3
/
ATOMIC_SPECIES
Tm 168.93 Tm.upf
Tb 158.93 Tb.upf
O 16.00 O.upf
CELL_PARAMETERS angstrom
9.0756 0.0000 0.0000
0.0000 3.9002 0.0000
0.0000 0.0000 3.9002
ATOMIC_POSITIONS angstrom
Tm 2.2247 1.9501 1.9501
Tb 4.5378 0.0000 0.0000
O 4.5378 1.9501 1.9501
O 7.7069 1.9501 0.0000
Tm 6.8509 1.9501 1.9501
O 1.3687 0.0000 1.9501
O 1.3687 1.9501 0.0000
Tb 0.0000 0.0000 0.0000
O 7.7069 0.0000 1.9501
! **V**: 138.05 Å³ per cell
! **Space-group type**: P4/mmm (123)
! **ΔE to the lowest computed polymorph**: 0 meV/atom



Record 4
! DyErW2C3 GGA-PBE relaxed; values from VASP
&SYSTEM
  ibrav = 0, nat = 7, ntyp = 4
/
ATOMIC_SPECIES
C 12.01 C.upf
Dy 162.50 Dy.upf
W 183.84 W.upf
Er 167.26 Er.upf
CELL_PARAMETERS angstrom
-5.4539 2.5040 -1.1895
-5.2132 -0.1178 -3.1998
-0.2407 -3.4764 4.5050
ATOMIC_POSITIONS angstrom
C -0.2453 -3.4694 4.4953
Dy -4.2046 0.3041 -0.9000
C -8.0687 0.8747 -2.1069
C -2.8271 -1.9655 2.2249
W -9.1716 -0.3254 -0.6738
W -1.7346 -0.7642 0.7890
Er -6.7119 -1.4009 1.0234
! **V**: 102.77 Å³ per cell
! **Space-group type**: Cm (8)
! **E**: -9.322 eV/atom



- Look up the V of the first one.
  198.31 Å³ per cell